(1)
TiPd6Au2 | PBE-GGA | relaxed

Values from the calculation:
- SG: C2/m, No. 12
- DFT formation energy: -0.3338 eV/atom
- Size of the total moment: 0.0 μB/cell

CIF file:
```
data_TiPd6Au2
_cell_length_a 6.170
_cell_length_b 6.170
_cell_length_c 8.379
_cell_angle_alpha 130.97
_cell_angle_beta 130.97
_cell_angle_gamma 38.43
_space_group_name_H-M_alt 'P 1'
_space_group_IT_number 1
loop_
_space_group_symop_operation_xyz
'x,y,z'
loop_
_atom_site_label
_atom_site_type_symbol
_atom_site_fract_x
_atom_site_fract_y
_atom_site_fract_z
Ti1 Ti 0.000 0.000 0.000
Pd1 Pd 0.004 0.004 0.676
Pd2 Pd 0.328 0.328 0.323
Pd3 Pd 0.337 0.337 0.000
Pd4 Pd 0.663 0.663 0.000
Pd5 Pd 0.672 0.672 0.677
Pd6 Pd 0.996 0.996 0.324
Au1 Au 0.335 0.335 0.670
Au2 Au 0.665 0.665 0.330
```

=====

(2)
Ti4Pd3Au | PBE-GGA | relaxed

Values from the calculation:
- SG: C2/m, No. 12
- DFT formation energy: -0.1531 eV/atom
- Size of the total moment: 0.0 μB/cell

CIF file:
```
data_Ti4Pd3Au
_cell_length_a 10.971
_cell_length_b 10.971
_cell_length_c 4.494
_cell_angle_alpha 101.74
_cell_angle_beta 101.74
_cell_angle_gamma 14.84
_space_group_name_H-M_alt 'P 1'
_space_group_IT_number 1
loop_
_space_group_symop_operation_xyz
'x,y,z'
loop_
_atom_site_label
_atom_site_type_symbol
_atom_site_fract_x
_atom_site_fract_y
_atom_site_fract_z
Ti1 Ti 0.105 0.105 0.106
Ti2 Ti 0.233 0.233 0.234
Ti3 Ti 0.767 0.767 0.766
Ti4 Ti 0.895 0.895 0.894
Pd1 Pd 0.350 0.350 0.349
Pd2 Pd 0.500 0.500 0.000
Pd3 Pd 0.650 0.650 0.651
Au1 Au 0.000 0.000 0.500
```

=====

(3)
TiPd2Au2 | PBE-GGA | relaxed

Values from the calculation:
- SG: P2_1/c, No. 14
- DFT formation energy: -0.2560 eV/atom
- Size of the total moment: 0.0 μB/cell

CIF file:
```
data_TiPd2Au2
_cell_length_a 7.601
_cell_length_b 8.208
_cell_length_c 5.619
_cell_angle_alpha 90.00
_cell_angle_beta 95.26
_cell_angle_gamma 90.00
_space_group_name_H-M_alt 'P 1'
_space_group_IT_number 1
loop_
_space_group_symop_operation_xyz
'x,y,z'
loop_
_atom_site_label
_atom_site_type_symbol
_atom_site_fract_x
_atom_site_fract_y
_atom_site_fract_z
Ti1 Ti 0.113 0.111 0.260
Ti2 Ti 0.113 0.389 0.760
Ti3 Ti 0.887 0.611 0.240
Ti4 Ti 0.887 0.889 0.740
Pd1 Pd 0.160 0.068 0.772
Pd2 Pd 0.160 0.432 0.272
Pd3 Pd 0.381 0.534 0.665
Pd4 Pd 0.381 0.966 0.165
Pd5 Pd 0.619 0.034 0.835
Pd6 Pd 0.619 0.466 0.335
Pd7 Pd 0.840 0.568 0.728
Pd8 Pd 0.840 0.932 0.228
Au1 Au 0.161 0.714 0.957
Au2 Au 0.161 0.786 0.457
Au3 Au 0.421 0.213 0.506
Au4 Au 0.421 0.287 0.006
Au5 Au 0.579 0.713 0.994
Au6 Au 0.579 0.787 0.494
Au7 Au 0.839 0.214 0.543
Au8 Au 0.839 0.286 0.043
```

=====

(4)
Ti5Pd4Au | PBE-GGA | relaxed

Values from the calculation:
- SG: I4, No. 79
- DFT formation energy: -0.3221 eV/atom
- Size of the total moment: 0.0 μB/cell

CIF file:
```
data_Ti5Pd4Au
_cell_length_a 6.354
_cell_length_b 6.354
_cell_length_c 6.354
_cell_angle_alpha 98.91
_cell_angle_beta 98.91
_cell_angle_gamma 133.65
_space_group_name_H-M_alt 'P 1'
_space_group_IT_number 1
loop_
_space_group_symop_operation_xyz
'x,y,z'
loop_
_atom_site_label
_atom_site_type_symbol
_atom_site_fract_x
_atom_site_fract_y
_atom_site_fract_z
Ti1 Ti 0.000 0.000 0.000
Ti2 Ti 0.271 0.967 0.643
Ti3 Ti 0.324 0.628 0.357
Ti4 Ti 0.628 0.271 0.304
Ti5 Ti 0.967 0.324 0.696
Pd1 Pd 0.010 0.622 0.061
Pd2 Pd 0.562 0.949 0.939
Pd3 Pd 0.622 0.562 0.612
Pd4 Pd 0.949 0.010 0.388
Au1 Au 0.479 0.479 0.000
```